This record from Alexandria describes an optimized crystal structure of ErNpMn2O6. The functional is PBE with a Hubbard U.

Results
* uncorrected energy: -8.77 eV/atom
* total moment: 0.800 μB per atom

a = 5.588 Å, b = 5.706 Å, c = 8.299 Å
α = 90.00°, β = 90.64°, γ = 90.00°
Each line ends with the local moment (μB).
Fractional coordinates of all 20 atoms:
1 O 0.158 0.180 0.074  0.08
2 O 0.869 0.595 0.248  0.05
3 O 0.658 0.320 0.574  0.08
4 O 0.842 0.820 0.926  0.08
5 O 0.369 0.905 0.748  0.05
6 O 0.177 0.165 0.430  0.08
7 O 0.677 0.335 0.930  0.08
8 O 0.823 0.835 0.570  0.08
9 O 0.323 0.665 0.070  0.08
10 O 0.631 0.095 0.252  0.05
11 O 0.131 0.405 0.752  0.05
12 O 0.342 0.680 0.426  0.08
13 Np 0.500 0.000 0.500  -2.09
14 Np 0.000 0.500 0.000  -2.09
15 Mn 0.991 0.965 0.250  4.61
16 Mn 0.509 0.465 0.250  4.61
17 Mn 0.491 0.535 0.750  4.61
18 Mn 0.009 0.035 0.750  4.61
19 Er 0.000 0.500 0.500  0.02
20 Er 0.500 0.000 0.000  0.02